No. 1
{"formula": "CrSn2HgF", "functional": "PBE with a Hubbard U", "state": "relaxed", "lattice_angstrom": [[5.575, 0.000, 0.000], [0.000, 5.575, 0.000], [0.000, 0.000, 4.565]], "species": ["Cr", "Sn", "Sn", "Hg", "F"], "fractional_positions": [[0.000, 0.000, 0.000], [0.000, 0.500, 0.500], [0.500, 0.000, 0.500], [0.500, 0.500, 0.500], [0.500, 0.500, 0.000]], "space_group": "P4/mmm (123)", "final_energy_ev_per_atom": -3.349}


No. 2
{"formula": "Ho2CrF8", "functional": "PBE with a Hubbard U", "state": "relaxed", "lattice_angstrom": [[4.706, -3.495, 0.000], [4.706, 3.495, 0.000], [-1.305, 0.000, 4.828]], "species": ["Ho", "Ho", "Cr", "F", "F", "F", "F", "F", "F", "F", "F"], "fractional_positions": [[0.178, 0.178, 0.418], [0.822, 0.822, 0.582], [0.500, 0.500, 0.000], [0.066, 0.066, 0.763], [0.153, 0.540, 0.715], [0.356, 0.356, 0.224], [0.460, 0.847, 0.285], [0.540, 0.153, 0.715], [0.644, 0.644, 0.776], [0.847, 0.460, 0.285], [0.934, 0.934, 0.237]], "space_group": "C2/m (12)", "final_energy_ev_per_atom": -6.570}


No. 3
{"formula": "Ho2CrF8", "functional": "PBE with a Hubbard U", "state": "relaxed", "lattice_angstrom": [[7.328, -1.726, 0.000], [7.328, 1.726, 0.000], [-1.587, 0.000, 5.479]], "species": ["Ho", "Ho", "Cr", "F", "F", "F", "F", "F", "F", "F", "F"], "fractional_positions": [[0.180, 0.180, 0.197], [0.820, 0.820, 0.803], [0.500, 0.500, 0.500], [0.041, 0.041, 0.336], [0.216, 0.216, 0.835], [0.319, 0.319, 0.530], [0.402, 0.402, 0.008], [0.598, 0.598, 0.992], [0.681, 0.681, 0.470], [0.784, 0.784, 0.165], [0.959, 0.959, 0.664]], "space_group": "C2/m (12)", "final_energy_ev_per_atom": -6.539}


No. 4
{"formula": "KHoCrF6", "functional": "PBE with a Hubbard U", "state": "relaxed", "lattice_angstrom": [[5.851, 0.000, 0.000], [-2.926, 5.068, 0.000], [0.000, 0.000, 10.978]], "species": ["K", "K", "Ho", "Ho", "Cr", "Cr", "F", "F", "F", "F", "F", "F", "F", "F", "F", "F", "F", "F"], "fractional_positions": [[0.000, 0.000, 0.000], [0.000, 0.000, 0.500], [0.333, 0.667, 0.250], [0.667, 0.333, 0.750], [0.333, 0.667, 0.750], [0.667, 0.333, 0.250], [0.005, 0.376, 0.647], [0.005, 0.629, 0.853], [0.371, 0.376, 0.853], [0.371, 0.995, 0.647], [0.376, 0.005, 0.147], [0.376, 0.371, 0.353], [0.624, 0.629, 0.647], [0.624, 0.995, 0.853], [0.629, 0.005, 0.353], [0.629, 0.624, 0.147], [0.995, 0.371, 0.147], [0.995, 0.624, 0.353]], "space_group": "P-31c (163)", "final_energy_ev_per_atom": -5.936}


No. 5
{"formula": "LiHoCrF6", "functional": "PBE with a Hubbard U", "state": "relaxed", "lattice_angstrom": [[5.463, 0.000, 0.000], [-2.731, 4.731, 0.000], [0.000, 0.000, 9.074]], "species": ["Li", "Li", "Ho", "Ho", "Cr", "Cr", "F", "F", "F", "F", "F", "F", "F", "F", "F", "F", "F", "F"], "fractional_positions": [[0.000, 0.000, 0.000], [0.000, 0.000, 0.500], [0.333, 0.667, 0.250], [0.667, 0.333, 0.750], [0.333, 0.667, 0.750], [0.667, 0.333, 0.250], [0.017, 0.342, 0.627], [0.017, 0.675, 0.873], [0.325, 0.342, 0.873], [0.325, 0.983, 0.627], [0.342, 0.017, 0.127], [0.342, 0.325, 0.373], [0.658, 0.675, 0.627], [0.658, 0.983, 0.873], [0.675, 0.017, 0.373], [0.675, 0.658, 0.127], [0.983, 0.325, 0.127], [0.983, 0.658, 0.373]], "space_group": "P-31c (163)", "final_energy_ev_per_atom": -5.815}


No. 6
{"formula": "Na2HoCrF8", "functional": "PBE with a Hubbard U", "state": "relaxed", "lattice_angstrom": [[5.092, 0.000, 0.000], [0.000, 6.675, 0.000], [-0.143, 0.000, 5.152]], "species": ["Na", "Na", "Ho", "Cr", "F", "F", "F", "F", "F", "F", "F", "F"], "fractional_positions": [[0.000, 0.237, 0.000], [0.000, 0.763, 0.000], [0.500, 0.500, 0.500], [0.500, 0.000, 0.500], [0.202, 0.500, 0.205], [0.232, 0.000, 0.232], [0.322, 0.227, 0.675], [0.322, 0.773, 0.675], [0.678, 0.227, 0.325], [0.678, 0.773, 0.325], [0.768, 0.000, 0.768], [0.798, 0.500, 0.795]], "space_group": "P2/m (10)", "final_energy_ev_per_atom": -5.681}


No. 7
{"formula": "HoCrO4F", "functional": "PBE with a Hubbard U", "state": "relaxed", "lattice_angstrom": [[4.633, -3.597, 0.000], [4.633, 3.597, 0.000], [-1.928, 0.000, 6.401]], "species": ["Ho", "Ho", "Cr", "Cr", "O", "O", "O", "O", "O", "O", "O", "O", "F", "F"], "fractional_positions": [[0.204, 0.204, 0.104], [0.796, 0.796, 0.896], [0.349, 0.349, 0.722], [0.651, 0.651, 0.278], [0.116, 0.482, 0.847], [0.260, 0.260, 0.473], [0.468, 0.468, 0.243], [0.482, 0.116, 0.847], [0.518, 0.884, 0.153], [0.532, 0.532, 0.757], [0.740, 0.740, 0.527], [0.884, 0.518, 0.153], [0.013, 0.013, 0.821], [0.987, 0.987, 0.179]], "space_group": "C2/m (12)", "final_energy_ev_per_atom": -7.197}


No. 8
{"formula": "RbHoCrF6", "functional": "PBE with a Hubbard U", "state": "relaxed", "lattice_angstrom": [[-4.042, 4.092, 5.460], [4.042, -4.092, 5.460], [4.042, 4.092, -5.460]], "species": ["Rb", "Rb", "Ho", "Ho", "Cr", "Cr", "F", "F", "F", "F", "F", "F", "F", "F", "F", "F", "F", "F"], "fractional_positions": [[0.418, 0.168, 0.250], [0.582, 0.832, 0.750], [0.000, 0.000, 0.500], [0.000, 0.500, 0.000], [0.000, 0.500, 0.500], [0.500, 0.500, 0.000], [0.070, 0.443, 0.261], [0.070, 0.809, 0.627], [0.079, 0.829, 0.250], [0.318, 0.191, 0.761], [0.318, 0.557, 0.127], [0.339, 0.589, 0.750], [0.661, 0.411, 0.250], [0.682, 0.443, 0.873], [0.682, 0.809, 0.239], [0.921, 0.171, 0.750], [0.930, 0.191, 0.373], [0.930, 0.557, 0.739]], "space_group": "Imma (74)", "final_energy_ev_per_atom": -5.966}


No. 9
{"formula": "HoTlCrF6", "functional": "PBE with a Hubbard U", "state": "relaxed", "lattice_angstrom": [[5.887, 0.000, 0.000], [-2.943, 5.098, 0.000], [0.000, 0.000, 11.626]], "species": ["Ho", "Ho", "Tl", "Tl", "Cr", "Cr", "F", "F", "F", "F", "F", "F", "F", "F", "F", "F", "F", "F"], "fractional_positions": [[0.333, 0.667, 0.250], [0.667, 0.333, 0.750], [0.000, 0.000, 0.000], [0.000, 0.000, 0.500], [0.333, 0.667, 0.750], [0.667, 0.333, 0.250], [0.005, 0.383, 0.652], [0.005, 0.623, 0.848], [0.377, 0.383, 0.848], [0.377, 0.995, 0.652], [0.383, 0.005, 0.152], [0.383, 0.377, 0.348], [0.617, 0.623, 0.652], [0.617, 0.995, 0.848], [0.623, 0.005, 0.348], [0.623, 0.617, 0.152], [0.995, 0.377, 0.152], [0.995, 0.617, 0.348]], "space_group": "P-31c (163)", "final_energy_ev_per_atom": -5.837}


No. 10
{"formula": "CrIF", "functional": "PBE with a Hubbard U", "state": "relaxed", "lattice_angstrom": [[4.205, 0.000, 0.000], [0.995, 6.217, 0.000], [0.495, 2.103, 6.546]], "species": ["Cr", "Cr", "I", "I", "F", "F"], "fractional_positions": [[0.205, 0.274, 0.492], [0.795, 0.726, 0.508], [0.297, 0.837, 0.765], [0.703, 0.163, 0.235], [0.176, 0.612, 0.354], [0.824, 0.388, 0.646]], "space_group": "P-1 (2)", "final_energy_ev_per_atom": -5.126}


No. 11
{"formula": "CrI3F", "functional": "PBE with a Hubbard U", "state": "relaxed", "lattice_angstrom": [[5.352, 0.000, 0.000], [0.000, 5.352, 0.000], [0.000, 0.000, 5.352]], "species": ["Cr", "I", "I", "I", "F"], "fractional_positions": [[0.000, 0.000, 0.000], [0.000, 0.500, 0.500], [0.500, 0.000, 0.500], [0.500, 0.500, 0.000], [0.500, 0.500, 0.500]], "space_group": "Pm-3m (221)", "final_energy_ev_per_atom": -2.594}


No. 12
{"formula": "Cr2I3F", "functional": "PBE with a Hubbard U", "state": "relaxed", "lattice_angstrom": [[10.172, -1.908, 0.000], [10.172, 1.908, 0.000], [-7.993, 0.000, 11.092]], "species": ["Cr", "Cr", "Cr", "Cr", "I", "I", "I", "I", "I", "I", "F", "F"], "fractional_positions": [[0.209, 0.209, 0.085], [0.275, 0.275, 0.665], [0.725, 0.725, 0.335], [0.791, 0.791, 0.915], [0.107, 0.107, 0.190], [0.340, 0.340, 0.481], [0.368, 0.368, 0.101], [0.632, 0.632, 0.899], [0.660, 0.660, 0.519], [0.893, 0.893, 0.810], [0.251, 0.251, 0.815], [0.749, 0.749, 0.185]], "space_group": "C2/m (12)", "final_energy_ev_per_atom": -4.544}


What is the formula in the eighth record? RbHoCrF6